This record from Alexandria via LeMat-Bulk describes an optimized crystal structure of VCr2Mo. The functional is PBE.

Cell lengths 6.606, 6.606, 5.326 Å; angles 51.67, 51.67, 90.00 degrees
Fractional coordinates of all 8 atoms:
Cr (0.875, 0.869, 0.750)
Cr (0.619, 0.125, 0.250)
Cr (0.375, 0.381, 0.750)
Cr (0.131, 0.625, 0.250)
Mo (0.750, 0.250, 0.500)
Mo (0.000, 0.000, 0.000)
V (0.250, 0.750, 0.500)
V (0.500, 0.500, 0.000)

As for the energy of formation from the pure elements: 0.681 eV per atom. Its symmetry is I-42d. The value obtained for the distance to the lowest polymorph of the same formula is 71.1 kJ/mol of atoms.

=====

This record from Alexandria via LeMat-Bulk describes an optimized crystal structure of Sm2Al3Zn4. The functional is PBE.

Cell lengths 5.826, 7.747, 8.266 Å; angles 90.00, 110.63, 90.00 degrees
Fractional coordinates of all 18 atoms:
Zn (0.185, 0.750, 0.871)
Zn (0.685, 0.750, 0.871)
Zn (0.325, 0.483, 0.650)
Zn (0.175, 0.983, 0.350)
Zn (0.315, 0.250, 0.129)
Zn (0.675, 0.517, 0.350)
Zn (0.815, 0.250, 0.129)
Zn (0.825, 0.017, 0.650)
Al (0.481, 0.250, 0.462)
Al (0.519, 0.750, 0.538)
Al (0.019, 0.750, 0.538)
Al (0.500, 0.500, 0.000)
Al (0.981, 0.250, 0.462)
Al (0.000, 0.000, 0.000)
Sm (0.394, 0.098, 0.788)
Sm (0.606, 0.902, 0.212)
Sm (0.106, 0.598, 0.212)
Sm (0.894, 0.402, 0.788)

As for the energy of formation from the pure elements: -0.328 eV per atom. Its symmetry is Cmce.

=====

This record from Alexandria via LeMat-Bulk describes an optimized crystal structure of Nd2SmZn2Pb2. The functional is PBE.

Cell lengths 4.797, 4.797, 10.011 Å; angles 76.14, 76.14, 60.00 degrees
Fractional coordinates of all 7 atoms:
Sm (0.000, 0.000, 0.000)
Nd (0.868, 0.868, 0.395)
Nd (0.132, 0.132, 0.605)
Zn (0.576, 0.576, 0.271)
Zn (0.424, 0.424, 0.729)
Pb (0.729, 0.729, 0.814)
Pb (0.271, 0.271, 0.186)

As for the energy of formation from the pure elements: -0.225 eV per atom. Its symmetry is R-3m.

=====

This record from Alexandria via LeMat-Bulk describes an optimized crystal structure of LiNd2Mg2In5. The functional is PBE.

Cell lengths 4.420, 10.649, 10.649 Å; angles 90.00, 90.00, 90.00 degrees
Fractional coordinates of all 20 atoms:
In (0.500, 0.437, 0.305)
In (0.500, 0.563, 0.695)
In (0.500, 0.195, 0.063)
In (0.500, 0.500, 0.000)
In (0.500, 0.000, 0.500)
In (0.500, 0.805, 0.937)
In (0.500, 0.937, 0.195)
In (0.500, 0.305, 0.563)
In (0.500, 0.063, 0.805)
In (0.500, 0.695, 0.437)
Mg (0.000, 0.878, 0.378)
Mg (0.000, 0.378, 0.122)
Mg (0.000, 0.122, 0.622)
Mg (0.000, 0.622, 0.878)
Nd (0.000, 0.825, 0.675)
Nd (0.000, 0.325, 0.825)
Nd (0.000, 0.675, 0.175)
Nd (0.000, 0.175, 0.325)
Li (0.000, 0.500, 0.500)
Li (0.000, 0.000, 0.000)

As for the energy of formation from the pure elements: -0.285 eV per atom. Its symmetry is P4/mbm.

=====

This record from Alexandria via LeMat-Bulk describes an optimized crystal structure of LiLa2Cd2. The functional is PBE.

Cell lengths 7.444, 7.444, 5.195 Å; angles 90.00, 90.00, 90.00 degrees
Fractional coordinates of all 10 atoms:
La (0.348, 0.152, 0.500)
La (0.848, 0.348, 0.500)
La (0.152, 0.652, 0.500)
La (0.652, 0.848, 0.500)
Li (0.000, 0.000, 0.000)
Li (0.500, 0.500, 0.000)
Cd (0.146, 0.354, 0.000)
Cd (0.854, 0.646, 0.000)
Cd (0.646, 0.146, 0.000)
Cd (0.354, 0.854, 0.000)

As for the energy of formation from the pure elements: -0.202 eV per atom. Its symmetry is P4/mbm. The value obtained for the distance to the lowest polymorph of the same formula is 0.0 kJ/mol of atoms.

=====

This record from Alexandria via LeMat-Bulk describes an optimized crystal structure of BeHgS2. The functional is PBE.

Cell lengths 6.379, 3.786, 14.617 Å; angles 90.00, 90.00, 90.00 degrees
Fractional coordinates of all 16 atoms:
S (0.219, 0.250, 0.826)
S (0.882, 0.250, 0.428)
S (0.781, 0.750, 0.174)
S (0.618, 0.750, 0.928)
S (0.382, 0.250, 0.072)
S (0.719, 0.250, 0.674)
S (0.118, 0.750, 0.572)
S (0.281, 0.750, 0.326)
Be (0.559, 0.750, 0.073)
Be (0.441, 0.250, 0.927)
Be (0.941, 0.250, 0.573)
Be (0.059, 0.750, 0.427)
Hg (0.521, 0.250, 0.366)
Hg (0.479, 0.750, 0.634)
Hg (0.021, 0.250, 0.134)
Hg (0.979, 0.750, 0.866)

Its symmetry is Pnma. The raw formation energy is -1.848 eV/f.u. The value obtained for the distance to the lowest polymorph of the same formula is 9.2 kJ/mol of atoms.

=====

This record from Alexandria via LeMat-Bulk describes an optimized crystal structure of CaTbGaS4. The functional is PBE.

Cell lengths 7.695, 7.797, 7.797 Å; angles 60.80, 60.43, 60.43 degrees
Fractional coordinates of all 14 atoms:
S (0.751, 0.742, 0.756)
S (0.744, 0.255, 0.755)
S (0.247, 0.255, 0.755)
S (0.753, 0.745, 0.245)
S (0.256, 0.745, 0.245)
S (0.249, 0.744, 0.758)
S (0.751, 0.256, 0.242)
S (0.249, 0.258, 0.244)
Ca (0.500, 0.000, 0.500)
Ca (0.000, 0.000, 0.500)
Ga (0.366, 0.384, 0.884)
Ga (0.634, 0.616, 0.116)
Tb (0.000, 0.500, 0.500)
Tb (0.000, 0.000, 0.000)

Its symmetry is Imma. The raw formation energy is -10.586 eV/f.u.

=====

This record from Alexandria via LeMat-Bulk describes an optimized crystal structure of Re2OsSe. The functional is PBE.

Cell lengths 5.065, 5.065, 4.410 Å; angles 87.86, 87.86, 33.70 degrees
Fractional coordinates of all 4 atoms:
Re (0.967, 0.967, 0.024)
Re (0.533, 0.533, 0.476)
Se (0.750, 0.750, 0.750)
Os (0.250, 0.250, 0.250)

Its symmetry is C2/m. The raw formation energy is 1.972 eV/f.u.

=====

V values, unit Å³/cell, following the record order: 112 349 192 501 288 353 335 63.
DOS(E_F) values, unit states/eV/atom, following the record order: 1.214 0.566 0.904 0.383 1.435 0.000 0.042 0.591.